First-principles (GGA-PBE) data for an optimized crystal structure of CaGdAl, as listed in the Alexandria database.

The calculation puts the excess energy over the best structure of this formula in the dataset at 37 kJ/mol of formula units. The calculation puts the total energy at -6.659 eV per atom. The value obtained for the total moment is 7.428 μB/f.u. Its formation energy is -0.050 eV/atom. As for the space-group type: P3m1 (156). The crystal system is trigonal.

Unit cell a=5.2048 b=5.2048 c=3.5566 alpha=90.00 beta=90.00 gamma=120.00
Closest atoms and distances in Å follow each position.
Atoms (fractional coordinates):
Ca 0.0000 0.0000 0.0000  3 Al 3.17, 3 Gd 3.35
Gd 0.6667 0.3333 0.4182  3 Al 3.18, 3 Ca 3.35, 2 Gd 3.56
Al 0.3333 0.6667 0.7146  3 Ca 3.17, 3 Gd 3.18